1.
First-principles (GGA-PBE) data for crystalline Li2TlAg at its relaxed geometry, as listed in OQMD.

Results
VASP energy = -2.391 eV per atom
SG = Pnma, No. 62

Cell lengths 5.288, 7.545, 7.913 Å; angles 90.00, 90.00, 90.00 degrees
Atoms (fractional coordinates):
Li 0.390 0.058 0.821
Ag 0.102 0.250 0.611
Li 0.390 0.442 0.821
Li 0.610 0.558 0.179
Li 0.890 0.942 0.679
Ag 0.898 0.750 0.389
Li 0.890 0.558 0.679
Tl 0.399 0.750 0.537
Tl 0.101 0.750 0.037
Tl 0.601 0.250 0.463
Ag 0.398 0.250 0.111
Ag 0.602 0.750 0.889
Li 0.110 0.442 0.321
Li 0.610 0.942 0.179
Li 0.110 0.058 0.321
Tl 0.899 0.250 0.963

***

2.
First-principles (GGA-PBE) data for crystalline Li2TlAg at its relaxed geometry, as listed in OQMD.

Results
VASP energy = -2.466 eV per atom
SG = F-43m, No. 216

Cell lengths 4.684, 4.684, 4.684 Å; angles 60.00, 60.00, 60.00 degrees
Atoms (fractional coordinates):
Tl 0.500 0.500 0.500
Ag 0.250 0.250 0.250
Li 0.000 0.000 0.000
Li 0.750 0.750 0.750

***

3.
First-principles (GGA-PBE) data for crystalline Li2TlAg at its relaxed geometry, as listed in OQMD.

Results
VASP energy = -2.472 eV per atom
SG = P4/mmm, No. 123

Cell lengths 4.588, 4.588, 3.397 Å; angles 90.00, 90.00, 90.00 degrees
Atoms (fractional coordinates):
Ag 0.000 0.000 0.000
Li 0.000 0.500 0.500
Tl 0.500 0.500 0.000
Li 0.500 0.000 0.500

***

4.
First-principles (GGA-PBE) data for crystalline LiUAg at its relaxed geometry, as listed in OQMD.

Results
VASP energy = -4.123 eV per atom
Total magnetic moment = 3.89 μB per formula unit
SG = F-43m, No. 216
Offset from the most stable computed form = 257 meV per atom

Cell lengths 4.867, 4.867, 4.867 Å; angles 60.00, 60.00, 60.00 degrees
Atoms (fractional coordinates):
U 0.000 0.000 0.000
Li 0.750 0.750 0.750
Ag 0.250 0.250 0.250

***

5.
First-principles (GGA-PBE) data for crystalline LiUAg at its relaxed geometry, as listed in OQMD.

Results
VASP energy = -4.380 eV per atom
Total magnetic moment = 4.30 μB per formula unit
SG = F-43m, No. 216
Offset from the most stable computed form = 0 meV per atom

Cell lengths 4.586, 4.586, 4.586 Å; angles 60.00, 60.00, 60.00 degrees
Last column: magnetic moment on the atom in μB.
Atoms (fractional coordinates):
Li 0.750 0.750 0.750  0.17
U 0.500 0.500 0.500  3.11
Ag 0.000 0.000 0.000  0.08

***

6.
First-principles (GGA-PBE) data for crystalline Li2Ag2W3 at its relaxed geometry, as listed in OQMD.

Results
VASP energy = -6.525 eV per atom
Total magnetic moment = 0.03 μB per formula unit
SG = R3m, No. 160

Cell lengths 7.147, 7.147, 7.147 Å; angles 35.71, 35.71, 35.71 degrees
Atoms (fractional coordinates):
Li 0.193 0.193 0.193
Ag 0.063 0.063 0.063
W 0.328 0.328 0.328
Ag 0.481 0.481 0.481
W 0.623 0.623 0.623
Li 0.767 0.767 0.767
W 0.920 0.920 0.920